First-principles (PBE) data for a relaxed structure of DyBi2, as listed in OQMD.

Summary:
Total DFT energy (no corrections) (eV/atom): -4.49
Density (g/cm3): 9.4
Magnetic moment (μB per formula unit): 0.01

POSCAR file:
```
DyBi2
1.0
6.963 0.000 0.000
0.000 8.184 0.000
0.000 0.000 3.605
Dy Bi
2 4
direct
0.000 0.000 0.000 Dy
0.500 0.500 0.500 Dy
0.150 0.365 0.000 Bi
0.350 0.865 0.500 Bi
0.650 0.135 0.500 Bi
0.850 0.635 0.000 Bi
```


First-principles (PBE) data for a relaxed structure of BaGdAuSe3, as listed in OQMD.

Summary:
Relative energy among the computed polymorphs (eV per atom): 0.0000
Density (g/cm3): 7.4
Magnetic moment (μB per formula unit): 0.01

POSCAR file:
```
BaGdAuSe3
1.0
2.129 -7.152 0.000
2.129 7.152 0.000
0.000 0.000 10.779
Ba Gd Au Se
2 2 2 6
direct
0.248 0.752 0.750 Ba
0.752 0.248 0.250 Ba
0.000 0.000 0.000 Gd
0.000 0.000 0.500 Gd
0.464 0.536 0.250 Au
0.536 0.464 0.750 Au
0.080 0.920 0.250 Se
0.361 0.639 0.050 Se
0.361 0.639 0.450 Se
0.639 0.361 0.550 Se
0.639 0.361 0.950 Se
0.920 0.080 0.750 Se
```


First-principles (PBE) data for a relaxed structure of BaNpAs, as listed in OQMD.

Summary:
Total DFT energy (no corrections) (eV/atom): -6.14
Density (g/cm3): 7.7
Magnetic moment (μB per formula unit): 5.79

POSCAR file:
```
BaNpAs
1.0
0.000 3.645 3.645
3.645 0.000 3.645
3.645 3.645 0.000
Ba Np As
1 1 1
direct
0.000 0.000 0.000 Ba
0.750 0.750 0.750 Np
0.500 0.500 0.500 As
```


First-principles (PBE) data for a relaxed structure of KB4Os, as listed in OQMD.

Summary:
Relative energy among the computed polymorphs (eV per atom): 0.0000
Density (g/cm3): 6.9
Magnetic moment (μB per formula unit): 0.43

POSCAR file:
```
KB4Os
1.0
3.024 0.000 0.000
-1.512 2.619 0.000
0.000 0.000 8.295
K B Os
1 4 1
direct
0.000 0.000 0.000 K
0.333 0.667 0.300 B
0.333 0.667 0.700 B
0.667 0.333 0.300 B
0.667 0.333 0.700 B
0.000 0.000 0.500 Os
```


First-principles (PBE) data for a relaxed structure of UBeB, as listed in OQMD.

Summary:
Relative energy among the computed polymorphs (eV per atom): 0.0000
Density (g/cm3): 9.6
Magnetic moment (μB per formula unit): 2.61

POSCAR file:
```
UBeB
1.0
0.000 2.814 2.814
2.814 0.000 2.814
2.814 2.814 0.000
U Be B
1 1 1
direct
0.000 0.000 0.000 U
0.500 0.500 0.500 Be
0.750 0.750 0.750 B
```


First-principles (PBE) data for a relaxed structure of Hf4Ta2Au3N3, as listed in OQMD.

Summary:
Total DFT energy (no corrections) (eV/atom): -9.15
Density (g/cm3): 15.2
Magnetic moment (μB per formula unit): 0.00

POSCAR file:
```
Hf4Ta2Au3N3
1.0
4.853 -2.814 0.000
4.853 2.814 0.000
-3.239 0.000 13.648
Hf Ta Au N
8 4 6 6
direct
0.033 0.196 0.094 Hf
0.132 0.303 0.406 Hf
0.196 0.033 0.594 Hf
0.303 0.132 0.906 Hf
0.697 0.868 0.094 Hf
0.804 0.967 0.406 Hf
0.868 0.697 0.594 Hf
0.967 0.804 0.906 Hf
0.361 0.526 0.076 Ta
0.474 0.639 0.424 Ta
0.526 0.361 0.576 Ta
0.639 0.474 0.924 Ta
0.114 0.886 0.250 Au
0.278 0.418 0.750 Au
0.418 0.278 0.250 Au
0.582 0.722 0.750 Au
0.722 0.582 0.250 Au
0.886 0.114 0.750 Au
0.000 0.500 0.000 N
0.151 0.675 0.500 N
0.325 0.849 0.000 N
0.500 0.000 0.500 N
0.675 0.151 0.000 N
0.849 0.325 0.500 N
```


First-principles (PBE) data for a relaxed structure of Cs2Sm4Cu4S9, as listed in OQMD.

Summary:
Total DFT energy (no corrections) (eV/atom): -5.22
Density (g/cm3): 5.2
Magnetic moment (μB per formula unit): 0.00

POSCAR file:
```
Cs2Sm4Cu4S9
1.0
7.102 -2.017 0.000
7.102 2.017 0.000
-5.169 0.000 15.636
Cs Sm Cu S
2 4 4 9
direct
0.027 0.027 0.269 Cs
0.973 0.973 0.731 Cs
0.229 0.229 0.101 Sm
0.346 0.346 0.446 Sm
0.654 0.654 0.554 Sm
0.771 0.771 0.899 Sm
0.243 0.243 0.722 Cu
0.429 0.429 0.037 Cu
0.571 0.571 0.963 Cu
0.757 0.757 0.278 Cu
0.000 0.000 0.500 S
0.140 0.140 0.926 S
0.294 0.294 0.598 S
0.335 0.335 0.275 S
0.397 0.397 0.882 S
0.603 0.603 0.118 S
0.665 0.665 0.725 S
0.706 0.706 0.402 S
0.860 0.860 0.074 S
```


First-principles (PBE) data for a relaxed structure of CsCuSnS3, as listed in OQMD.

Summary:
Relative energy among the computed polymorphs (eV per atom): 0.0016
Density (g/cm3): 4.3

POSCAR file:
```
CsCuSnS3
1.0
9.029 0.000 0.000
0.000 3.929 0.000
-3.882 0.000 8.868
Cs Cu Sn S
2 2 2 6
direct
0.228 0.250 0.272 Cs
0.772 0.750 0.728 Cs
0.065 0.250 0.582 Cu
0.935 0.750 0.418 Cu
0.324 0.750 0.852 Sn
0.676 0.250 0.148 Sn
0.129 0.250 0.844 S
0.212 0.750 0.566 S
0.468 0.750 0.140 S
0.532 0.250 0.860 S
0.788 0.250 0.434 S
0.871 0.750 0.156 S
```


First-principles (PBE) data for a relaxed structure of YTm2In3AgIr2, as listed in OQMD.

Summary:
Total DFT energy (no corrections) (eV/atom): -5.52
Density (g/cm3): 10.8
Magnetic moment (μB per formula unit): 0.02

POSCAR file:
```
YTm2In3AgIr2
1.0
3.796 0.000 0.000
0.000 6.697 3.835
0.000 -6.697 3.835
Y Tm In Ag Ir
1 2 3 1 2
direct
0.000 0.000 0.000 Y
0.000 0.177 0.589 Tm
0.000 0.589 0.177 Tm
0.500 0.319 0.319 In
0.500 0.589 0.858 In
0.500 0.858 0.589 In
0.000 0.588 0.588 Ag
0.500 0.260 0.921 Ir
0.500 0.921 0.260 Ir
```


First-principles (PBE) data for a relaxed structure of Li2ZrS3, as listed in OQMD.

Summary:
Relative energy among the computed polymorphs (eV per atom): 0.0004
Density (g/cm3): 3.1
Magnetic moment (μB per formula unit): 0.00

POSCAR file:
```
Li2ZrS3
1.0
6.434 0.000 0.000
0.000 3.692 0.000
-0.140 0.000 9.049
Li Zr S
4 2 6
direct
0.076 0.250 0.177 Li
0.236 0.750 0.509 Li
0.764 0.250 0.491 Li
0.924 0.750 0.823 Li
0.394 0.250 0.817 Zr
0.606 0.750 0.183 Zr
0.079 0.250 0.669 S
0.262 0.750 0.997 S
0.423 0.250 0.326 S
0.577 0.750 0.674 S
0.738 0.250 0.003 S
0.921 0.750 0.331 S
```